# LiTi2SiH GGA-PBE relaxed
data_LiTi2SiH
_chemical_formula_sum 'Li1 Ti2 Si1 H1'
_symmetry_space_group_name_H-M 'P 1'
_symmetry_Int_Tables_number 1
_cell_length_a 3.994
_cell_length_b 3.994
_cell_length_c 3.750
_cell_angle_alpha 90.00
_cell_angle_beta 90.00
_cell_angle_gamma 90.00
loop_
_symmetry_equiv_pos_as_xyz
'x,y,z'
loop_
_atom_site_label
_atom_site_fract_x
_atom_site_fract_y
_atom_site_fract_z
Si1 0.500 0.500 0.500
H1 0.000 0.000 0.000
Ti1 0.000 0.500 0.000
Ti2 0.500 0.000 0.000
Li1 0.000 0.000 0.500
# VASP energy   -5.705 eV/atom
# Density of states at the Fermi level   3.9 states/eV/cell
# Space group   P4/mmm (123)
# Theoretical density   3.7 g/cm³